[1]
Below is a geometry-optimized SrTlInSe3 structure, with properties calculated at the PBE level.

Cell and atoms, written as POSCAR:
```
SrTlInSe3
1.0
2.1783 -7.5267 0.0000
2.1783 7.5267 0.0000
0.0000 0.0000 12.3395
Sr Tl In Se
2 2 2 6
Direct
0.0000 0.0000 0.0000
0.0000 0.0000 0.5000
0.2407 0.7593 0.7500
0.7593 0.2407 0.2500
0.4657 0.5343 0.2500
0.5343 0.4657 0.7500
0.0737 0.9263 0.2500
0.3672 0.6328 0.0798
0.3672 0.6328 0.4202
0.6328 0.3672 0.5798
0.6328 0.3672 0.9202
0.9263 0.0737 0.7500
```

- uncorrected formation energy (eV per atom) = -1.003
- magnetic moment (μB per cell) = 0.00



[2]
Below is a geometry-optimized AcZnAg2 structure, with properties calculated at the PBE level.

Cell and atoms, written as POSCAR:
```
AcZnAg2
1.0
-2.1923 2.1923 20.7141
2.1923 -2.1923 20.7141
2.1923 2.1923 -20.7141
Ac Zn Ag
4 4 8
Direct
0.3028 0.5528 0.7500
0.4472 0.6972 0.7500
0.5528 0.3028 0.2500
0.6972 0.4472 0.2500
0.1250 0.3750 0.7500
0.3750 0.1250 0.2500
0.6250 0.8750 0.7500
0.8750 0.6250 0.2500
0.0198 0.7698 0.2500
0.0873 0.8373 0.2500
0.1627 0.9127 0.2500
0.2302 0.9802 0.2500
0.7698 0.0198 0.7500
0.8373 0.0873 0.7500
0.9127 0.1627 0.7500
0.9802 0.2302 0.7500
```

- Fermi-level density of states (states/eV/cell) = 9.2
- E (Ha/atom) = -0.1104
- magnetic moment (μB per cell) = 0.00



[3]
Below is a geometry-optimized PmHoIr structure, with properties calculated at the PBE level.

Cell and atoms, written as POSCAR:
```
PmHoIr
1.0
-2.2790 2.2790 7.3403
2.2790 -2.2790 7.3403
2.2790 2.2790 -7.3403
Pm Ho Ir
2 2 2
Direct
0.1859 0.1859 0.0000
0.8141 0.8141 0.0000
0.0000 0.5000 0.5000
0.5000 0.0000 0.5000
0.3752 0.3752 0.0000
0.6248 0.6248 0.0000
```

- E above lowest polymorph (meV per atom) = 57
- Fermi-level density of states (states/eV/cell) = 5.7
- magnetic moment (μB per cell) = 0.00